Density functional theory data (PBE with a Hubbard U) for a geometry-optimized K2CdNi3F12 structure.

The value obtained for the total energy is -213.65 eV/cell. Its crystal system is trigonal.

The space group is R-3m (No. 166, hexagonal axes) and the conventional cell measures 7.3748, 7.3748 and 17.3261 Å, with angles of 90.00, 90.00 and 120.00 degrees. The inequivalent atoms are K at (0.0000, 0.0000, 0.1214), Cd at (0.0000, 0.0000, 0.5000), Ni at (0.0000, 0.5000, 0.0000), F at (0.0082, 0.5041, 0.1108) and F at (0.0721, 0.5360, 0.3345).